# 1
Computed, not measured: an optimized crystal structure of TbYAl4 at the GGA-PBE level of DFT.

calculated formation energy: -0.53 eV/atom

Unit cell a=5.5740 b=5.5740 c=5.5740 alpha=60.00 beta=60.00 gamma=60.00
Last column: nearest neighbours and their distance in Å.
Atoms (fractional coordinates):
Tb 0.0000 0.0000 0.0000  12 Al 3.27, 4 Y 3.41
Y 0.7500 0.7500 0.7500  12 Al 3.27, 4 Tb 3.41
Al 0.3750 0.3750 0.3750  6 Al 2.79
Al 0.3750 0.3750 0.8751  6 Al 2.79
Al 0.3750 0.8751 0.3750  6 Al 2.79
Al 0.8751 0.3750 0.3750  6 Al 2.79

=====

# 2
Computed, not measured: an optimized crystal structure of NaLi2BiI at the GGA-PBE level of DFT.

energy relative to the elements, uncorrected: -0.34 eV/atom

Unit cell a=5.1843 b=5.1843 c=5.8977 alpha=90.00 beta=90.00 gamma=90.00
Last column: nearest neighbours and their distance in Å.
Atoms (fractional coordinates):
Na 0.0000 0.0000 0.0000  2 I 2.95
Li 0.0000 0.5000 0.5000  2 I 2.59
Li 0.5000 0.0000 0.5000  2 I 2.59
Bi 0.5000 0.5000 0.0000  4 Na 3.67, 8 Li 3.93
I 0.0000 0.0000 0.5000  4 Li 2.59